--- 1 ---
{
  "formula": "Cr3AuS",
  "functional": "PBE-GGA",
  "state": "optimized geometry",
  "spacegroup": "No. 221",
  "lattice_angstrom": [[4.982, 0.000, 0.000], [0.000, 4.982, 0.000], [0.000, 0.000, 4.982]],
  "species": ["S", "Au", "Cr", "Cr", "Cr"],
  "frac_coords": [[0.500, 0.500, 0.500], [0.000, 0.000, 0.000], [0.000, 0.000, 0.500], [0.000, 0.500, 0.000], [0.500, 0.000, 0.000]]
}



--- 2 ---
{
  "formula": "Cr3AuS",
  "functional": "PBE-GGA",
  "state": "optimized geometry",
  "spacegroup": "No. 221",
  "lattice_angstrom": [[4.166, 0.000, 0.000], [0.000, 4.166, 0.000], [0.000, 0.000, 4.166]],
  "species": ["S", "Cr", "Au", "Cr", "Cr"],
  "frac_coords": [[0.000, 0.000, 0.000], [0.500, 0.000, 0.000], [0.500, 0.500, 0.500], [0.000, 0.000, 0.500], [0.000, 0.500, 0.000]]
}



Energetically preferred structure: 2 | next structure: +0.884 eV/atom



--- 1 ---
{
  "formula": "CrSbAu",
  "functional": "PBE-GGA",
  "state": "optimized geometry",
  "spacegroup": "No. 156",
  "lattice_angstrom": [[-4.163, 0.778, 0.410], [1.527, -3.889, 0.806], [0.558, 1.000, 3.770]],
  "species": ["Cr", "Sb", "Au"],
  "frac_coords": [[0.667, 0.333, 0.323], [0.333, 0.667, 0.658], [0.000, 0.000, 0.019]]
}



--- 2 ---
{
  "formula": "CrSbAu",
  "functional": "PBE-GGA",
  "state": "optimized geometry",
  "spacegroup": "No. 156",
  "lattice_angstrom": [[-0.137, 1.943, 2.790], [-2.712, -0.239, -2.041], [-2.040, -4.853, 3.279]],
  "species": ["Au", "Sb", "Cr"],
  "frac_coords": [[0.000, 0.000, 0.028], [0.333, 0.667, 0.650], [0.667, 0.333, 0.322]]
}



Energetically preferred structure: 1 | next structure: +0.050 eV/atom



--- 1 ---
{
  "formula": "CrSbAu",
  "functional": "PBE-GGA",
  "state": "optimized geometry",
  "spacegroup": "No. 12",
  "lattice_angstrom": [[4.212, -2.087, 0.359], [-0.364, 4.687, 0.359], [0.879, 0.594, 8.357]],
  "species": ["Cr", "Sb", "Sb", "Au", "Au", "Cr"],
  "frac_coords": [[0.558, 0.558, 0.882], [0.147, 0.147, 0.701], [0.853, 0.853, 0.299], [0.172, 0.828, 0.000], [0.828, 0.172, 0.000], [0.442, 0.442, 0.118]]
}



--- 2 ---
{
  "formula": "CrSbAu",
  "functional": "PBE-GGA",
  "state": "optimized geometry",
  "spacegroup": "No. 216",
  "lattice_angstrom": [[-2.567, -2.360, -2.802], [1.625, -3.676, -1.964], [-1.508, -4.034, 1.208]],
  "species": ["Sb", "Cr", "Au"],
  "frac_coords": [[0.000, 0.000, 0.000], [0.250, 0.250, 0.250], [0.500, 0.500, 0.500]]
}



--- 3 ---
{
  "formula": "CrSbAu",
  "functional": "PBE-GGA",
  "state": "optimized geometry",
  "spacegroup": "No. 107",
  "lattice_angstrom": [[6.047, 0.240, 0.000], [4.100, 4.452, 0.000], [-5.074, -2.346, 2.320]],
  "species": ["Cr", "Au", "Sb"],
  "frac_coords": [[0.339, 0.339, 0.000], [0.980, 0.980, 0.000], [0.681, 0.681, 0.000]]
}



Energetically preferred structure: 2 | next structure: +0.087 eV/atom



--- 1 ---
{
  "formula": "ScCr3Au",
  "functional": "PBE-GGA",
  "state": "optimized geometry",
  "spacegroup": "No. 221",
  "lattice_angstrom": [[4.949, 0.000, 0.000], [0.000, 4.949, 0.000], [0.000, 0.000, 4.949]],
  "species": ["Cr", "Cr", "Au", "Cr", "Sc"],
  "frac_coords": [[0.000, 0.500, 0.000], [0.000, 0.000, 0.500], [0.000, 0.000, 0.000], [0.500, 0.000, 0.000], [0.500, 0.500, 0.500]]
}



--- 2 ---
{
  "formula": "ScCr3Au",
  "functional": "PBE-GGA",
  "state": "optimized geometry",
  "spacegroup": "No. 221",
  "lattice_angstrom": [[4.310, 0.000, 0.000], [0.000, 4.310, 0.000], [0.000, 0.000, 4.310]],
  "species": ["Cr", "Cr", "Au", "Cr", "Sc"],
  "frac_coords": [[0.000, 0.000, 0.500], [0.000, 0.500, 0.000], [0.500, 0.500, 0.500], [0.500, 0.000, 0.000], [0.000, 0.000, 0.000]]
}



Energetically preferred structure: 1 | next structure: +0.648 eV/atom



--- 1 ---
{
  "formula": "Cr3AuSe",
  "functional": "PBE-GGA",
  "state": "optimized geometry",
  "spacegroup": "No. 221",
  "lattice_angstrom": [[-2.021, -0.874, 3.760], [3.147, -2.832, 1.033], [2.236, 3.195, 1.945]],
  "species": ["Au", "Se", "Cr", "Cr", "Cr"],
  "frac_coords": [[0.500, 0.500, 0.500], [0.000, 0.000, 0.000], [0.000, 0.500, 0.000], [0.000, 0.000, 0.500], [0.500, 0.000, 0.000]]
}



--- 2 ---
{
  "formula": "Cr3AuSe",
  "functional": "PBE-GGA",
  "state": "optimized geometry",
  "spacegroup": "No. 221",
  "lattice_angstrom": [[4.999, 0.000, 0.000], [0.000, 4.999, 0.000], [0.000, 0.000, 4.999]],
  "species": ["Au", "Se", "Cr", "Cr", "Cr"],
  "frac_coords": [[0.000, 0.000, 0.000], [0.500, 0.500, 0.500], [0.000, 0.000, 0.500], [0.000, 0.500, 0.000], [0.500, 0.000, 0.000]]
}



Energetically preferred structure: 1 | next structure: +0.133 eV/atom



--- 1 ---
{
  "formula": "CrSi2Au",
  "functional": "PBE-GGA",
  "state": "optimized geometry",
  "spacegroup": "No. 160",
  "lattice_angstrom": [[8.110, -0.027, -0.016], [7.576, 2.895, -0.016], [7.576, 1.385, 2.542]],
  "species": ["Au", "Si", "Si", "Cr"],
  "frac_coords": [[0.503, 0.503, 0.503], [0.255, 0.255, 0.255], [0.000, 0.000, 0.000], [0.742, 0.742, 0.742]]
}



--- 2 ---
{
  "formula": "CrSi2Au",
  "functional": "PBE-GGA",
  "state": "optimized geometry",
  "spacegroup": "No. 99",
  "lattice_angstrom": [[3.309, 0.000, 0.000], [0.000, 3.309, 0.000], [0.000, 0.000, 5.225]],
  "species": ["Au", "Cr", "Si", "Si"],
  "frac_coords": [[0.000, 0.000, 0.470], [0.500, 0.500, 0.805], [0.500, 0.500, 0.257], [0.000, 0.000, 0.968]]
}



--- 3 ---
{
  "formula": "CrSi2Au",
  "functional": "PBE-GGA",
  "state": "optimized geometry",
  "spacegroup": "No. 12",
  "lattice_angstrom": [[4.264, -0.014, -0.022], [3.185, 2.835, -0.022], [0.824, 0.312, 4.825]],
  "species": ["Si", "Si", "Cr", "Au"],
  "frac_coords": [[0.983, 0.983, 0.065], [0.517, 0.517, 0.435], [0.250, 0.250, 0.250], [0.750, 0.750, 0.750]]
}



Energetically preferred structure: 2 | next structure: +0.034 eV/atom



--- 1 ---
{
  "formula": "CrSi2Au",
  "functional": "PBE-GGA",
  "state": "optimized geometry",
  "spacegroup": "No. 99",
  "lattice_angstrom": [[-2.729, 0.559, 0.735], [0.602, -0.662, 2.738], [1.771, 6.952, 1.292]],
  "species": ["Cr", "Au", "Si", "Si"],
  "frac_coords": [[0.500, 0.500, 0.783], [0.000, 0.000, 0.510], [0.500, 0.500, 0.225], [0.000, 0.000, 0.982]]
}



--- 2 ---
{
  "formula": "CrSi2Au",
  "functional": "PBE-GGA",
  "state": "optimized geometry",
  "spacegroup": "No. 44",
  "lattice_angstrom": [[-4.016, 1.819, 3.064], [-1.172, -1.853, 4.901], [4.119, 1.723, -2.982]],
  "species": ["Si", "Cr", "Au", "Si"],
  "frac_coords": [[0.235, 0.735, 0.500], [0.779, 0.279, 0.500], [0.531, 0.531, 0.000], [0.955, 0.955, 0.000]]
}



--- 3 ---
{
  "formula": "CrSi2Au",
  "functional": "PBE-GGA",
  "state": "optimized geometry",
  "spacegroup": "No. 216",
  "lattice_angstrom": [[4.478, 0.000, 0.000], [2.239, 3.878, 0.000], [2.239, 1.293, 3.656]],
  "species": ["Au", "Si", "Si", "Cr"],
  "frac_coords": [[0.500, 0.500, 0.500], [0.250, 0.250, 0.250], [0.000, 0.000, 0.000], [0.750, 0.750, 0.750]]
}



--- 4 ---
{
  "formula": "CrSi2Au",
  "functional": "PBE-GGA",
  "state": "optimized geometry",
  "spacegroup": "No. 122",
  "lattice_angstrom": [[7.043, 0.000, 0.000], [0.000, 7.043, 0.000], [3.522, 3.522, 2.695]],
  "species": ["Cr", "Si", "Au", "Si", "Si", "Si", "Au", "Cr"],
  "frac_coords": [[0.250, 0.750, 0.500], [0.118, 0.625, 0.250], [0.750, 0.250, 0.500], [0.375, 0.368, 0.750], [0.632, 0.125, 0.250], [0.875, 0.882, 0.750], [0.000, 0.000, 0.000], [0.500, 0.500, 0.000]]
}



Energetically preferred structure: 2 | next structure: +0.138 eV/atom



--- 1 ---
{
  "formula": "CrSi2Au",
  "functional": "PBE-GGA",
  "state": "optimized geometry",
  "spacegroup": "No. 123",
  "lattice_angstrom": [[4.060, 0.000, 0.000], [0.000, 4.065, 0.000], [0.000, 0.000, 3.548]],
  "species": ["Si", "Cr", "Au", "Si"],
  "frac_coords": [[0.000, 0.000, 0.000], [0.000, 0.500, 0.500], [0.500, 0.000, 0.500], [0.500, 0.500, 0.000]]
}



--- 2 ---
{
  "formula": "CrSi2Au",
  "functional": "PBE-GGA",
  "state": "optimized geometry",
  "spacegroup": "No. 25",
  "lattice_angstrom": [[-0.067, 4.167, 1.788], [-0.325, -1.157, 2.684], [4.308, -0.130, 0.466]],
  "species": ["Si", "Cr", "Au", "Si"],
  "frac_coords": [[0.500, 0.375, 0.220], [0.500, 0.875, 0.759], [0.000, 0.375, 0.512], [0.000, 0.875, 0.008]]
}



Energetically preferred structure: 2 | next structure: +0.089 eV/atom